1.
{"formula": "AgAsO3", "functional": "meta-GGA SCAN", "state": "PBEsol geometry", "cell": [[4.935, 0.000, 0.000], [2.467, 4.273, 0.000], [2.467, 1.424, 5.645]], "species": ["O", "O", "Ag", "O", "Ag", "O", "O", "O", "As", "As"], "fractional_positions": [[0.181, 0.558, 0.314], [0.558, 0.948, 0.314], [0.356, 0.356, 0.933], [0.819, 0.442, 0.686], [0.644, 0.644, 0.067], [0.442, 0.052, 0.686], [0.948, 0.181, 0.314], [0.052, 0.819, 0.686], [0.836, 0.836, 0.493], [0.164, 0.164, 0.507]], "sg": "R-3 (148)", "vol_a3_per_atom": 11.90, "total_energy_ev_per_atom": -15.044, "crystal_system": "trigonal", "mass_density_g_cm3": 6.4}


2.
{"formula": "VAg2AsO6", "functional": "meta-GGA SCAN", "state": "PBEsol geometry", "cell": [[-5.637, 0.918, 2.942], [-1.833, -5.875, -1.367], [5.489, -2.118, 4.150]], "species": ["O", "O", "O", "O", "As", "V", "O", "O", "O", "O", "Ag", "Ag", "O", "Ag", "O", "O", "Ag", "As", "O", "V"], "fractional_positions": [[0.787, 0.196, 0.080], [0.822, 0.000, 0.730], [0.203, 0.263, 0.913], [0.405, 0.996, 0.730], [0.650, 0.151, 0.813], [0.113, 0.072, 0.729], [0.998, 0.204, 0.503], [0.797, 0.737, 0.087], [0.178, 0.000, 0.270], [0.410, 0.611, 0.300], [0.277, 0.574, 0.616], [0.723, 0.426, 0.384], [0.002, 0.796, 0.497], [0.114, 0.389, 0.195], [0.213, 0.804, 0.920], [0.595, 0.004, 0.270], [0.886, 0.611, 0.805], [0.350, 0.849, 0.187], [0.590, 0.389, 0.700], [0.887, 0.928, 0.271]], "sg": "P-1 (2)", "vol_a3_per_atom": 13.01, "total_energy_ev_per_atom": -15.195, "crystal_system": "triclinic", "mass_density_g_cm3": 5.6}


3.
{"formula": "ZnAgAsO5", "functional": "meta-GGA SCAN", "state": "PBEsol geometry", "cell": [[6.198, 0.000, 0.000], [0.000, 7.943, 0.000], [0.000, 0.000, 8.901]], "species": ["O", "Ag", "O", "O", "O", "O", "Ag", "As", "O", "O", "Zn", "O", "O", "Zn", "As", "As", "O", "O", "O", "O", "O", "O", "O", "Ag", "O", "O", "O", "Zn", "O", "Zn", "As", "Ag"], "fractional_positions": [[0.000, 0.084, 0.458], [0.750, 0.750, 0.000], [0.999, 0.230, 0.020], [0.000, 0.847, 0.884], [0.724, 0.601, 0.753], [0.500, 0.916, 0.958], [0.250, 0.750, 0.000], [0.500, 0.608, 0.642], [0.500, 0.416, 0.542], [0.001, 0.730, 0.480], [0.000, 0.703, 0.693], [0.500, 0.153, 0.384], [0.277, 0.601, 0.753], [0.000, 0.203, 0.807], [0.000, 0.892, 0.358], [0.500, 0.108, 0.858], [0.223, 0.399, 0.253], [0.000, 0.347, 0.616], [0.000, 0.584, 0.042], [0.776, 0.399, 0.253], [0.723, 0.101, 0.747], [0.224, 0.899, 0.247], [0.500, 0.653, 0.116], [0.750, 0.250, 0.500], [0.276, 0.101, 0.747], [0.501, 0.770, 0.520], [0.499, 0.270, 0.980], [0.500, 0.797, 0.307], [0.777, 0.899, 0.247], [0.500, 0.297, 0.193], [0.000, 0.392, 0.142], [0.250, 0.250, 0.500]], "sg": "P2_12_12_1 (19)", "vol_a3_per_atom": 13.69, "total_energy_ev_per_atom": -12.981, "crystal_system": "orthorhombic", "mass_density_g_cm3": 5.0}